Entry 1:
Crystalline Er5GaRu at its relaxed geometry, computed with PBE.

Values from the calculation:
The symmetry is C2/c (15). The crystal system is monoclinic. The spin magnetization comes out at 0.0 μB per formula unit. For the formation energy, the calculation gives -184.7 meV per atom. Its uncorrected energy is -72.820 eV per cell.

abc: 5.848 5.848 11.532
angles: 102.91 102.91 76.33
Fractional positions:
Er1 0.013 0.987 0.750
Er2 0.089 0.421 0.127
Er3 0.211 0.543 0.437
Er4 0.421 0.089 0.627
Er5 0.457 0.789 0.063
Er6 0.543 0.211 0.937
Er7 0.579 0.911 0.373
Er8 0.789 0.457 0.563
Er9 0.911 0.579 0.873
Er10 0.987 0.013 0.250
Ga1 0.416 0.584 0.750
Ga2 0.584 0.416 0.250
Ru1 0.000 0.000 0.000
Ru2 0.000 0.000 0.500

Entry 2:
Crystalline ErSc2GaRu4 at its relaxed geometry, computed with PBE.

Values from the calculation:
The symmetry is R-3m (166). The crystal system is trigonal. The spin magnetization comes out at 0.0 μB per formula unit. For the formation energy, the calculation gives -448.7 meV per atom. Its uncorrected energy is -60.946 eV per cell.

abc: 7.889 7.889 7.889
angles: 33.32 33.32 33.32
Fractional positions:
Er1 0.000 0.000 0.000
Sc1 0.245 0.245 0.245
Sc2 0.755 0.755 0.755
Ga1 0.500 0.500 0.500
Ru1 0.129 0.129 0.129
Ru2 0.380 0.380 0.380
Ru3 0.620 0.620 0.620
Ru4 0.871 0.871 0.871

Entry 3:
Crystalline Er2GaSi2Ru5 at its relaxed geometry, computed with PBE.

Values from the calculation:
The symmetry is P4/mbm (127). The crystal system is tetragonal. The spin magnetization comes out at 0.0 μB per formula unit. The value obtained for the formation energy from raw total energies is -652 meV per atom. Its uncorrected energy is -151.806 eV per cell.

abc: 9.915 9.915 3.236
angles: 90.00 90.00 90.00
Fractional positions:
Er1 0.173 0.327 0.000
Er2 0.327 0.827 0.000
Er3 0.673 0.173 0.000
Er4 0.827 0.673 0.000
Ga1 0.000 0.000 0.000
Ga2 0.500 0.500 0.000
Si1 0.128 0.628 0.000
Si2 0.372 0.128 0.000
Si3 0.628 0.872 0.000
Si4 0.872 0.372 0.000
Ru1 0.000 0.500 0.500
Ru2 0.067 0.794 0.500
Ru3 0.206 0.067 0.500
Ru4 0.294 0.567 0.500
Ru5 0.433 0.294 0.500
Ru6 0.500 0.000 0.500
Ru7 0.567 0.706 0.500
Ru8 0.706 0.433 0.500
Ru9 0.794 0.933 0.500
Ru10 0.933 0.206 0.500

Entry 4:
Crystalline ErGa2SiRu2 at its relaxed geometry, computed with PBE.

Values from the calculation:
The symmetry is P4/mmm (123). The crystal system is tetragonal. The spin magnetization comes out at 0.0 μB per formula unit. The value obtained for the formation energy from raw total energies is -354 meV per atom. Its uncorrected energy is -36.713 eV per cell.

abc: 4.423 4.423 5.563
angles: 90.00 90.00 90.00
Fractional positions:
Er1 0.000 0.000 0.000
Ga1 0.500 0.500 0.227
Ga2 0.500 0.500 0.773
Si1 0.000 0.000 0.500
Ru1 0.000 0.500 0.500
Ru2 0.500 0.000 0.500

Entry 5:
Crystalline Er2Ga2SiRu5 at its relaxed geometry, computed with PBE.

Values from the calculation:
The symmetry is P4/mbm (127). The crystal system is tetragonal. The spin magnetization comes out at 1.0 μB per formula unit. The value obtained for the formation energy from raw total energies is -425 meV per atom. Its uncorrected energy is -142.467 eV per cell.

abc: 9.949 9.949 3.282
angles: 90.00 90.00 90.00
Fractional positions:
Er1 0.169 0.331 0.000
Er2 0.331 0.831 0.000
Er3 0.669 0.169 0.000
Er4 0.831 0.669 0.000
Ga1 0.132 0.632 0.000
Ga2 0.368 0.132 0.000
Ga3 0.632 0.868 0.000
Ga4 0.868 0.368 0.000
Si1 0.000 0.000 0.000
Si2 0.500 0.500 0.000
Ru1 0.000 0.500 0.500
Ru2 0.059 0.811 0.500
Ru3 0.189 0.059 0.500
Ru4 0.311 0.559 0.500
Ru5 0.441 0.311 0.500
Ru6 0.500 0.000 0.500
Ru7 0.559 0.689 0.500
Ru8 0.689 0.441 0.500
Ru9 0.811 0.941 0.500
Ru10 0.941 0.189 0.500

Entry 6:
Crystalline Er2TaGa2Ru5 at its relaxed geometry, computed with PBE.

Values from the calculation:
The symmetry is P4/mbm (127). The crystal system is tetragonal. The spin magnetization comes out at 0.0 μB per formula unit. For the formation energy, the calculation gives -419.9 meV per atom. Its uncorrected energy is -155.221 eV per cell.

abc: 10.075 10.075 3.335
angles: 90.00 90.00 90.00
Fractional positions:
Er1 0.171 0.329 0.000
Er2 0.329 0.829 0.000
Er3 0.671 0.171 0.000
Er4 0.829 0.671 0.000
Ta1 0.000 0.000 0.000
Ta2 0.500 0.500 0.000
Ga1 0.128 0.628 0.000
Ga2 0.372 0.128 0.000
Ga3 0.628 0.872 0.000
Ga4 0.872 0.372 0.000
Ru1 0.000 0.500 0.500
Ru2 0.067 0.802 0.500
Ru3 0.198 0.067 0.500
Ru4 0.302 0.567 0.500
Ru5 0.433 0.302 0.500
Ru6 0.500 0.000 0.500
Ru7 0.567 0.698 0.500
Ru8 0.698 0.433 0.500
Ru9 0.802 0.933 0.500
Ru10 0.933 0.198 0.500

Entry 7:
Crystalline TbErGaRu at its relaxed geometry, computed with PBE.

Values from the calculation:
The symmetry is F-43m (216). The crystal system is cubic. The spin magnetization comes out at 0.0 μB per formula unit. For the formation energy, the calculation gives -462.3 meV per atom. Its uncorrected energy is -23.345 eV per cell.

abc: 4.920 4.920 4.920
angles: 60.00 60.00 60.00
Fractional positions:
Tb1 0.000 0.000 0.000
Er1 0.500 0.500 0.500
Ga1 0.250 0.250 0.250
Ru1 0.750 0.750 0.750

Entry 8:
Crystalline TbErGaRu at its relaxed geometry, computed with PBE.

Values from the calculation:
The symmetry is Amm2 (38). The crystal system is orthorhombic. The spin magnetization comes out at 0.0 μB per formula unit. For the formation energy, the calculation gives -492.0 meV per atom. Its uncorrected energy is -23.464 eV per cell.

abc: 4.292 5.676 5.676
angles: 40.18 90.00 90.00
Fractional positions:
Tb1 0.000 0.000 0.000
Er1 0.500 0.714 0.714
Ga1 0.500 0.421 0.421
Ru1 0.000 0.282 0.282

Entry 9:
Crystalline ErTmGaRu at its relaxed geometry, computed with PBE.

Values from the calculation:
The symmetry is F-43m (216). The crystal system is cubic. The spin magnetization comes out at 0.0 μB per formula unit. For the formation energy, the calculation gives -496.1 meV per atom. Its uncorrected energy is -23.321 eV per cell.

abc: 4.874 4.874 4.874
angles: 60.00 60.00 60.00
Fractional positions:
Er1 0.000 0.000 0.000
Tm1 0.500 0.500 0.500
Ga1 0.750 0.750 0.750
Ru1 0.250 0.250 0.250

Entry 10:
Crystalline ErTmGaRu at its relaxed geometry, computed with PBE.

Values from the calculation:
The symmetry is P4mm (99). The crystal system is tetragonal. The spin magnetization comes out at 0.0 μB per formula unit. For the formation energy, the calculation gives -567.0 meV per atom. Its uncorrected energy is -23.605 eV per cell.

abc: 3.442 3.442 6.980
angles: 90.00 90.00 90.00
Fractional positions:
Er1 0.000 0.000 0.000
Tm1 0.000 0.000 0.467
Ga1 0.500 0.500 0.731
Ru1 0.500 0.500 0.236

Entry 11:
Crystalline Er2VGa2Ru5 at its relaxed geometry, computed with PBE.

Values from the calculation:
The symmetry is P4/mbm (127). The crystal system is tetragonal. The spin magnetization comes out at 0.0 μB per formula unit. For the formation energy, the calculation gives -345.7 meV per atom. Its uncorrected energy is -148.268 eV per cell.

abc: 10.005 10.005 3.278
angles: 90.00 90.00 90.00
Fractional positions:
Er1 0.170 0.330 0.000
Er2 0.330 0.830 0.000
Er3 0.670 0.170 0.000
Er4 0.830 0.670 0.000
V1 0.000 0.000 0.000
V2 0.500 0.500 0.000
Ga1 0.130 0.630 0.000
Ga2 0.370 0.130 0.000
Ga3 0.630 0.870 0.000
Ga4 0.870 0.370 0.000
Ru1 0.000 0.500 0.500
Ru2 0.063 0.809 0.500
Ru3 0.191 0.063 0.500
Ru4 0.309 0.563 0.500
Ru5 0.437 0.309 0.500
Ru6 0.500 0.000 0.500
Ru7 0.563 0.691 0.500
Ru8 0.691 0.437 0.500
Ru9 0.809 0.937 0.500
Ru10 0.937 0.191 0.500

Entry 12:
Crystalline Er2V2GaRu5 at its relaxed geometry, computed with PBE.

Values from the calculation:
The symmetry is P4/mbm (127). The crystal system is tetragonal. The spin magnetization comes out at 0.0 μB per formula unit. For the formation energy, the calculation gives -260.4 meV per atom. Its uncorrected energy is -158.746 eV per cell.

abc: 10.185 10.185 3.193
angles: 90.00 90.00 90.00
Fractional positions:
Er1 0.173 0.327 0.000
Er2 0.327 0.827 0.000
Er3 0.673 0.173 0.000
Er4 0.827 0.673 0.000
V1 0.129 0.629 0.000
V2 0.371 0.129 0.000
V3 0.629 0.871 0.000
V4 0.871 0.371 0.000
Ga1 0.000 0.000 0.000
Ga2 0.500 0.500 0.000
Ru1 0.000 0.500 0.500
Ru2 0.065 0.798 0.500
Ru3 0.202 0.065 0.500
Ru4 0.298 0.565 0.500
Ru5 0.435 0.298 0.500
Ru6 0.500 0.000 0.500
Ru7 0.565 0.702 0.500
Ru8 0.702 0.435 0.500
Ru9 0.798 0.935 0.500
Ru10 0.935 0.202 0.500